No. 1
PBE-GGA Ta2IrRu2, relaxed; energy of formation = -129 meV per atom; space-group type = P4/mbm (127)
1.0
7.237 0.000 0.000
0.000 7.237 0.000
0.000 0.000 3.085
Ta Ir Ru
4 2 4
direct
0.171 0.329 0.000
0.329 0.829 0.000
0.671 0.171 0.000
0.829 0.671 0.000
0.000 0.000 0.500
0.500 0.500 0.500
0.131 0.631 0.500
0.369 0.131 0.500
0.631 0.869 0.500
0.869 0.369 0.500

No. 2
PBE-GGA La5Sm6Y2, relaxed; energy of formation = 85 meV per atom; space-group type = Pbam (55)
1.0
11.873 0.000 0.000
0.000 21.022 0.000
0.000 0.000 3.669
La Sm Y
10 12 4
direct
0.000 0.000 0.000
0.085 0.272 0.000
0.199 0.550 0.000
0.301 0.050 0.000
0.415 0.772 0.000
0.500 0.500 0.000
0.585 0.228 0.000
0.699 0.950 0.000
0.801 0.450 0.000
0.915 0.728 0.000
0.061 0.418 0.500
0.082 0.131 0.500
0.175 0.861 0.000
0.325 0.361 0.000
0.418 0.631 0.500
0.439 0.918 0.500
0.561 0.082 0.500
0.582 0.369 0.500
0.675 0.639 0.000
0.825 0.139 0.000
0.918 0.869 0.500
0.939 0.582 0.500
0.170 0.710 0.500
0.330 0.210 0.500
0.670 0.790 0.500
0.830 0.290 0.500

No. 3
PBE-GGA InFe2Ag, relaxed; energy of formation = 200 meV per atom; space-group type = P4mm (99)
1.0
3.063 0.000 0.000
0.000 3.063 0.000
0.000 0.000 6.794
In Fe Ag
1 2 1
direct
0.000 0.000 0.000
0.000 0.000 0.569
0.500 0.500 0.734
0.500 0.500 0.307

No. 4
PBE-GGA MnAsH3, relaxed; excess energy over the best structure of this formula in the dataset = 0 meV/atom; space-group type = Pm-3m (221)
1.0
3.408 0.000 0.000
0.000 3.408 0.000
0.000 0.000 3.408
Mn As H
1 1 3
direct
0.000 0.000 0.000
0.500 0.500 0.500
0.000 0.000 0.500
0.000 0.500 0.000
0.500 0.000 0.000

No. 5
PBE-GGA Sb2Te2W, relaxed; excess energy over the best structure of this formula in the dataset = 0 meV/atom; space-group type = P4/mbm (127); formation energy (no corrections) = 784 meV/atom
1.0
7.157 0.000 0.000
0.000 7.157 0.000
0.000 0.000 5.181
Sb Te W
4 4 2
direct
0.148 0.352 0.000
0.352 0.852 0.000
0.648 0.148 0.000
0.852 0.648 0.000
0.198 0.698 0.500
0.302 0.198 0.500
0.698 0.802 0.500
0.802 0.302 0.500
0.000 0.000 0.000
0.500 0.500 0.000

No. 6
PBE-GGA Na3Er2USe6, relaxed; space-group type = C2/m (12); formation energy (no corrections) = -1505 meV/atom
1.0
3.583 -6.208 0.000
3.583 6.208 0.000
-2.390 0.000 7.026
Na Er U Se
3 2 1 6
direct
0.000 0.000 0.000
0.334 0.666 0.000
0.666 0.334 0.000
0.167 0.833 0.500
0.833 0.167 0.500
0.500 0.500 0.500
0.084 0.423 0.270
0.238 0.238 0.731
0.423 0.084 0.270
0.577 0.916 0.730
0.762 0.762 0.269
0.916 0.577 0.730

No. 7
PBE-GGA Ca2CoBiH, relaxed; electronic total energy = -18.31 eV/f.u.; space-group type = P4/mmm (123)
1.0
5.669 0.000 0.000
0.000 5.669 0.000
0.000 0.000 3.379
Ca Co Bi H
2 1 1 1
direct
0.000 0.500 0.000
0.500 0.000 0.000
0.000 0.000 0.000
0.500 0.500 0.500
0.000 0.000 0.500

No. 8
PBE-GGA K3SbAu8, relaxed; space-group type = R3m (160); formation energy (no corrections) = -204 meV/atom
1.0
2.873 1.659 9.536
-2.873 1.659 9.536
0.000 -3.317 9.536
K Sb Au
3 1 8
direct
0.000 0.000 0.000
0.127 0.127 0.127
0.499 0.499 0.499
0.618 0.618 0.618
0.058 0.564 0.564
0.064 0.064 0.567
0.064 0.567 0.064
0.314 0.314 0.314
0.564 0.058 0.564
0.564 0.564 0.058
0.567 0.064 0.064
0.814 0.814 0.814

No. 9
PBE-GGA PuThNi4, relaxed; energy of formation = -343 meV per atom; space-group type = F-43m (216)
1.0
0.000 3.615 3.615
3.615 0.000 3.615
3.615 3.615 0.000
Pu Th Ni
1 1 4
direct
0.000 0.000 0.000
0.750 0.750 0.750
0.374 0.374 0.374
0.374 0.374 0.877
0.374 0.877 0.374
0.877 0.374 0.374

No. 10
PBE-GGA NiAs2SBr, relaxed; excess energy over the best structure of this formula in the dataset = 541 meV/atom; space-group type = P4/mmm (123); formation energy (no corrections) = 1116 meV/atom
1.0
4.793 0.000 0.000
0.000 4.793 0.000
0.000 0.000 5.071
Ni As S Br
1 2 1 1
direct
0.000 0.000 0.000
0.000 0.500 0.500
0.500 0.000 0.500
0.500 0.500 0.500
0.500 0.500 0.000

No. 11
PBE-GGA CsMnAl2Br8, relaxed; space-group type = R-3 (148); formation energy (no corrections) = -1029 meV/atom
1.0
3.433 1.982 10.220
-3.433 1.982 10.220
0.000 -3.964 10.220
Cs Mn Al Br
1 1 2 8
direct
0.000 0.000 0.000
0.500 0.500 0.500
0.242 0.242 0.242
0.758 0.758 0.758
0.118 0.767 0.457
0.233 0.543 0.882
0.319 0.319 0.319
0.457 0.118 0.767
0.543 0.882 0.233
0.681 0.681 0.681
0.767 0.457 0.118
0.882 0.233 0.543

No. 12
PBE-GGA BeRu2Au, relaxed; energy of formation = 305 meV per atom; space-group type = Cmmm (65)
1.0
1.471 -2.259 0.000
1.471 2.259 0.000
0.000 0.000 8.350
Be Ru Au
1 2 1
direct
0.000 0.000 0.000
0.500 0.500 0.207
0.500 0.500 0.793
0.000 0.000 0.500

No. 13
PBE-GGA TmVS2, relaxed; space-group type = R-3m (166); formation energy (no corrections) = -826 meV/atom
1.0
1.802 1.040 7.886
-1.802 1.040 7.886
0.000 -2.081 7.886
Tm V S
1 1 2
direct
0.000 0.000 0.000
0.500 0.500 0.500
0.111 0.111 0.111
0.889 0.889 0.889

No. 14
PBE-GGA MgIrPb2O6, relaxed; space-group type = P2_1/c (14); formation energy (no corrections) = -1277 meV/atom
1.0
5.636 0.000 0.000
0.000 5.694 0.000
-5.628 0.000 7.986
Mg Ir Pb O
2 2 4 12
direct
0.000 0.000 0.000
0.000 0.500 0.500
0.500 0.000 0.500
0.500 0.500 0.000
0.241 0.036 0.748
0.241 0.464 0.248
0.759 0.536 0.752
0.759 0.964 0.252
0.180 0.202 0.459
0.180 0.298 0.959
0.257 0.721 0.456
0.257 0.779 0.956
0.341 0.026 0.260
0.341 0.474 0.760
0.659 0.526 0.240
0.659 0.974 0.740
0.743 0.221 0.044
0.743 0.279 0.544
0.820 0.702 0.041
0.820 0.798 0.541

No. 15
PBE-GGA NaHS3, relaxed; excess energy over the best structure of this formula in the dataset = 879 meV/atom; space-group type = Pm-3m (221)
1.0
4.201 0.000 0.000
0.000 4.201 0.000
0.000 0.000 4.201
Na H S
1 1 3
direct
0.000 0.000 0.000
0.500 0.500 0.500
0.000 0.500 0.500
0.500 0.000 0.500
0.500 0.500 0.000

No. 16
PBE-GGA CaNiPt2, relaxed; energy of formation = -316 meV per atom; space-group type = Cmmm (65)
1.0
2.875 -3.886 0.000
2.875 3.886 0.000
0.000 0.000 2.936
Ca Ni Pt
1 1 2
direct
0.000 0.000 0.000
0.500 0.500 0.000
0.000 0.500 0.500
0.500 0.000 0.500

No. 17
PBE-GGA ZnInFe2, relaxed; energy of formation = 495 meV per atom; space-group type = I-42d (122)
1.0
-3.487 3.487 2.640
3.487 -3.487 2.640
3.487 3.487 -2.640
Zn In Fe
2 2 4
direct
0.000 0.000 0.000
0.750 0.250 0.500
0.250 0.750 0.500
0.500 0.500 0.000
0.107 0.625 0.982
0.375 0.357 0.482
0.643 0.125 0.018
0.875 0.893 0.518

No. 18
PBE-GGA Ac4HgBiN, relaxed; space-group type = P2_1/m (11); formation energy (no corrections) = -721 meV/atom
1.0
7.591 0.000 0.000
0.000 7.521 0.000
-2.909 0.000 8.948
Ac Hg Bi N
8 2 2 2
direct
0.006 0.005 0.260
0.006 0.495 0.260
0.408 0.250 0.570
0.414 0.250 0.136
0.586 0.750 0.864
0.592 0.750 0.430
0.994 0.505 0.740
0.994 0.995 0.740
0.228 0.750 0.555
0.772 0.250 0.445
0.253 0.750 0.065
0.747 0.250 0.935
0.227 0.250 0.303
0.773 0.750 0.697

No. 19
PBE-GGA AlB2Cl, relaxed; excess energy over the best structure of this formula in the dataset = 0 meV/atom; space-group type = I-42d (122); formation energy (no corrections) = 1033 meV/atom
1.0
-2.496 2.496 4.981
2.496 -2.496 4.981
2.496 2.496 -4.981
Al B Cl
2 4 2
direct
0.000 0.000 0.000
0.750 0.250 0.500
0.116 0.625 0.991
0.375 0.366 0.491
0.634 0.125 0.009
0.875 0.884 0.509
0.250 0.750 0.500
0.500 0.500 0.000

No. 20
PBE-GGA Ce4In, relaxed; energy of formation = -134 meV per atom; excess energy over the best structure of this formula in the dataset = 0 meV/atom; space-group type = Immm (71)
1.0
-1.563 2.592 7.898
1.563 -2.592 7.898
1.563 2.592 -7.898
Ce In
4 1
direct
0.104 0.104 0.000
0.307 0.807 0.500
0.693 0.193 0.500
0.896 0.896 0.000
0.500 0.500 0.000

No. 21
PBE-GGA Ho6GaSn2, relaxed; energy of formation = -521 meV per atom; space-group type = P-62m (189)
1.0
8.209 0.000 0.000
-4.104 7.109 0.000
0.000 0.000 4.290
Ho Ga Sn
6 1 2
direct
0.000 0.405 0.000
0.000 0.753 0.500
0.247 0.247 0.500
0.405 0.000 0.000
0.595 0.595 0.000
0.753 0.000 0.500
0.000 0.000 0.000
0.333 0.667 0.500
0.667 0.333 0.500

No. 22
PBE-GGA Li3YW, relaxed; energy of formation = 1209 meV per atom; excess energy over the best structure of this formula in the dataset = 0 meV/atom; space-group type = Pm-3m (221)
1.0
4.830 0.000 0.000
0.000 4.830 0.000
0.000 0.000 4.830
Li Y W
3 1 1
direct
0.000 0.000 0.500
0.000 0.500 0.000
0.500 0.000 0.000
0.500 0.500 0.500
0.000 0.000 0.000

No. 23
PBE-GGA AcPm2Zn3, relaxed; energy of formation = -278 meV per atom; space-group type = P4/mmm (123)
1.0
3.745 0.000 0.000
0.000 3.745 0.000
0.000 0.000 11.220
Ac Pm Zn
1 2 3
direct
0.000 0.000 0.000
0.000 0.000 0.341
0.000 0.000 0.659
0.500 0.500 0.188
0.500 0.500 0.500
0.500 0.500 0.812

No. 24
PBE-GGA SrCr2P, relaxed; energy of formation = 526 meV per atom; space-group type = P4/mmm (123)
1.0
4.324 0.000 0.000
0.000 4.324 0.000
0.000 0.000 4.571
Sr Cr P
1 2 1
direct
0.000 0.000 0.000
0.000 0.500 0.500
0.500 0.000 0.500
0.500 0.500 0.000

Number 1: total moment 0.000 μB/f.u., Fermi-level density of states 10.61 states/eV/cell. Number 2: total moment 0.000 μB/f.u., Fermi-level density of states 33.66 states/eV/cell. Number 3: total moment 5.051 μB/f.u., Fermi-level density of states 3.16 states/eV/cell. Number 4: total moment 1.403 μB/f.u., Fermi-level density of states 2.81 states/eV/cell. Number 5: total moment 0.000 μB/f.u., Fermi-level density of states 7.42 states/eV/cell. Number 6: total moment 3.008 μB/f.u., Fermi-level density of states 8.57 states/eV/cell. Number 7: total moment 0.000 μB/f.u., Fermi-level density of states 2.31 states/eV/cell. Number 8: total moment 0.000 μB/f.u., Fermi-level density of states 3.08 states/eV/cell. Number 9: total moment 5.698 μB/f.u., Fermi-level density of states 14.13 states/eV/cell. Number 10: total moment 0.915 μB/f.u., Fermi-level density of states 7.60 states/eV/cell. Number 11: total moment 4.183 μB/f.u., Fermi-level density of states 4.79 states/eV/cell. Number 12: total moment 0.180 μB/f.u., Fermi-level density of states 5.08 states/eV/cell. Number 13: total moment 2.258 μB/f.u., Fermi-level density of states 5.98 states/eV/cell. Number 14: total moment 0.000 μB/f.u., Fermi-level density of states 10.16 states/eV/cell. Number 15: total moment 0.000 μB/f.u., Fermi-level density of states 2.80 states/eV/cell. Number 16: total moment 0.245 μB/f.u., Fermi-level density of states 3.85 states/eV/cell. Number 17: total moment 4.844 μB/f.u., Fermi-level density of states 4.27 states/eV/cell. Number 18: total moment 0.414 μB/f.u., Fermi-level density of states 11.93 states/eV/cell. Number 19: total moment 0.000 μB/f.u., Fermi-level density of states 0.00 states/eV/cell. Number 20: total moment 0.634 μB/f.u., Fermi-level density of states 13.22 states/eV/cell. Number 21: total moment 4.650 μB/f.u., Fermi-level density of states 6.92 states/eV/cell. Number 22: total moment 2.968 μB/f.u., Fermi-level density of states 6.47 states/eV/cell. Number 23: total moment 0.000 μB/f.u., Fermi-level density of states 7.53 states/eV/cell. Number 24: total moment 8.721 μB/f.u., Fermi-level density of states 2.69 states/eV/cell.